# Pu2Co3Ge4Rh | Alexandria | PBE-GGA | optimized geometry
data_Pu2Co3Ge4Rh
_chemical_formula_sum 'Pu2 Co3 Ge4 Rh1'
_symmetry_space_group_name_H-M 'P -4 m 2'
_symmetry_Int_Tables_number 115
_cell_length_a 4.0843
_cell_length_b 4.0843
_cell_length_c 9.8427
_cell_angle_alpha 90.00
_cell_angle_beta 90.00
_cell_angle_gamma 90.00
loop_
_symmetry_equiv_pos_as_xyz
'x,y,z'
'y,-x,-z'
'-x,-y,z'
'-y,x,-z'
'-x,y,z'
'-y,-x,-z'
'x,-y,z'
'y,x,-z'
loop_
_atom_site_label
_atom_site_fract_x
_atom_site_fract_y
_atom_site_fract_z
_atom_site_occupancy
Pu1 0.0000 0.5000 0.2416 1
Co1 0.0000 0.5000 0.8737 1
Co2 0.5000 0.5000 0.5000 1
Ge1 0.0000 0.0000 0.0000 1
Ge2 0.0000 0.5000 0.6366 1
Ge3 0.5000 0.5000 0.0000 1
Rh1 0.0000 0.0000 0.5000 1
# * final energy: -80.4 eV/f.u.
# * density of states at the Fermi level: 2.8418 states/eV per atom
# * theoretical density: 10703 kg/m³
# * energy relative to the elements: -447 kJ/mol of formula units
# * crystal system: tetragonal


# Pu2CoGe6Ru | Alexandria | PBE-GGA | optimized geometry
data_Pu2CoGe6Ru
_chemical_formula_sum 'Pu12 Co6 Ge36 Ru6'
_symmetry_space_group_name_H-M 'R -3 m'
_symmetry_Int_Tables_number 166
_symmetry_space_group_name_Hall '-R 3 2"'
_cell_length_a 6.0598
_cell_length_b 6.0598
_cell_length_c 35.7308
_cell_angle_alpha 90.00
_cell_angle_beta 90.00
_cell_angle_gamma 120.00
loop_
_atom_site_label
_atom_site_fract_x
_atom_site_fract_y
_atom_site_fract_z
_atom_site_occupancy
Pu1 0.0000 0.0000 0.1105 1
Pu2 0.0000 0.0000 0.2961 1
Co1 0.0000 0.0000 0.4256 1
Ge1 0.0499 0.5249 0.2933 1
Ge2 0.0533 0.5266 0.8738 1
Ru1 0.0000 0.0000 0.0000 1
Ru2 0.0000 0.0000 0.5000 1
# * final energy: -75.4 eV/f.u.
# * density of states at the Fermi level: 1.5656 states/eV per atom
# * theoretical density: 9503 kg/m³
# * energy relative to the elements: -257 kJ/mol of formula units
# * crystal system: trigonal


# Pu2CoTcGe6 | Alexandria | PBE-GGA | optimized geometry
data_Pu2CoTcGe6
_chemical_formula_sum 'Pu12 Co6 Tc6 Ge36'
_symmetry_space_group_name_H-M 'R -3 m'
_symmetry_Int_Tables_number 166
_symmetry_space_group_name_Hall '-R 3 2"'
_cell_length_a 6.0786
_cell_length_b 6.0786
_cell_length_c 35.6477
_cell_angle_alpha 90.00
_cell_angle_beta 90.00
_cell_angle_gamma 120.00
loop_
_atom_site_label
_atom_site_fract_x
_atom_site_fract_y
_atom_site_fract_z
_atom_site_occupancy
Pu1 0.0000 0.0000 0.1111 1
Pu2 0.0000 0.0000 0.2960 1
Co1 0.0000 0.0000 0.4253 1
Tc1 0.0000 0.0000 0.0000 1
Tc2 0.0000 0.0000 0.5000 1
Ge1 0.0505 0.5253 0.2931 1
Ge2 0.0544 0.5272 0.8743 1
# * final energy: -76.2 eV/f.u.
# * density of states at the Fermi level: 1.7544 states/eV per atom
# * theoretical density: 9440 kg/m³
# * energy relative to the elements: -231 kJ/mol of formula units
# * crystal system: trigonal


# PuCoTcGe2 | Alexandria | PBE-GGA | optimized geometry
data_PuCoTcGe2
_chemical_formula_sum 'Pu2 Co2 Tc2 Ge4'
_symmetry_space_group_name_H-M 'I -4 m 2'
_symmetry_Int_Tables_number 119
_symmetry_space_group_name_Hall 'I -4 -2'
_cell_length_a 4.1179
_cell_length_b 4.1179
_cell_length_c 10.2690
_cell_angle_alpha 90.00
_cell_angle_beta 90.00
_cell_angle_gamma 90.00
loop_
_atom_site_label
_atom_site_fract_x
_atom_site_fract_y
_atom_site_fract_z
_atom_site_occupancy
Pu1 0.0000 0.0000 0.0000 1
Co1 0.0000 0.5000 0.7500 1
Tc1 0.0000 0.5000 0.2500 1
Ge1 0.0000 0.0000 0.3734 1
# * final energy: -42.6 eV/f.u.
# * density of states at the Fermi level: 2.8828 states/eV per atom
# * theoretical density: 10417 kg/m³
# * energy relative to the elements: -154 kJ/mol of formula units
# * crystal system: tetragonal


# TmPuCo2Ge2 | Alexandria | PBE-GGA | optimized geometry
data_TmPuCo2Ge2
_chemical_formula_sum 'Tm1 Pu1 Co2 Ge2'
_symmetry_space_group_name_H-M 'P -3 m 1'
_symmetry_Int_Tables_number 164
_symmetry_space_group_name_Hall '-P 3 2"'
_cell_length_a 4.1623
_cell_length_b 4.1623
_cell_length_c 7.1044
_cell_angle_alpha 90.00
_cell_angle_beta 90.00
_cell_angle_gamma 120.00
loop_
_atom_site_label
_atom_site_fract_x
_atom_site_fract_y
_atom_site_fract_z
_atom_site_occupancy
Tm1 0.0000 0.0000 0.0000 1
Pu1 0.0000 0.0000 0.5000 1
Co1 0.3333 0.6667 0.2652 1
Ge1 0.3333 0.6667 0.7552 1
# * final energy: -45.1 eV/f.u.
# * density of states at the Fermi level: 2.1535 states/eV per atom
# * theoretical density: 10532 kg/m³
# * energy relative to the elements: -274 kJ/mol of formula units
# * crystal system: trigonal


# TmPuCoGe | Alexandria | PBE-GGA | optimized geometry
data_TmPuCoGe
_chemical_formula_sum 'Tm4 Pu4 Co4 Ge4'
_symmetry_space_group_name_H-M 'F -4 3 m'
_symmetry_Int_Tables_number 216
_symmetry_space_group_name_Hall 'F -4 2 3'
_cell_length_a 6.8903
_cell_length_b 6.8903
_cell_length_c 6.8903
_cell_angle_alpha 90.00
_cell_angle_beta 90.00
_cell_angle_gamma 90.00
loop_
_atom_site_label
_atom_site_fract_x
_atom_site_fract_y
_atom_site_fract_z
_atom_site_occupancy
Tm1 0.0000 0.0000 0.0000 1
Pu1 0.0000 0.0000 0.5000 1
Co1 0.2500 0.2500 0.7500 1
Ge1 0.2500 0.2500 0.2500 1
# * final energy: -31.6 eV/f.u.
# * density of states at the Fermi level: 1.3631 states/eV per atom
# * theoretical density: 11056 kg/m³
# * energy relative to the elements: -106 kJ/mol of formula units
# * crystal system: cubic


# PuUCoGe | Alexandria | PBE-GGA | optimized geometry
data_PuUCoGe
_chemical_formula_sum 'Pu4 U4 Co4 Ge4'
_symmetry_space_group_name_H-M 'F -4 3 m'
_symmetry_Int_Tables_number 216
_symmetry_space_group_name_Hall 'F -4 2 3'
_cell_length_a 6.6239
_cell_length_b 6.6239
_cell_length_c 6.6239
_cell_angle_alpha 90.00
_cell_angle_beta 90.00
_cell_angle_gamma 90.00
loop_
_atom_site_label
_atom_site_fract_x
_atom_site_fract_y
_atom_site_fract_z
_atom_site_occupancy
Pu1 0.0000 0.0000 0.0000 1
U1 0.2500 0.2500 0.2500 1
Co1 0.0000 0.0000 0.5000 1
Ge1 0.2500 0.2500 0.7500 1
# * final energy: -37.5 eV/f.u.
# * density of states at the Fermi level: 1.4060 states/eV per atom
# * theoretical density: 14024 kg/m³
# * energy relative to the elements: -14 kJ/mol of formula units
# * crystal system: cubic


# RbCo2Ge4 | Alexandria | PBE-GGA | optimized geometry
data_RbCo2Ge4
_chemical_formula_sum 'Rb2 Co4 Ge8'
_symmetry_space_group_name_H-M 'I 4/m m m'
_symmetry_Int_Tables_number 139
_symmetry_space_group_name_Hall '-I 4 2'
_cell_length_a 5.2185
_cell_length_b 5.2185
_cell_length_c 13.1232
_cell_angle_alpha 90.00
_cell_angle_beta 90.00
_cell_angle_gamma 90.00
loop_
_atom_site_label
_atom_site_fract_x
_atom_site_fract_y
_atom_site_fract_z
_atom_site_occupancy
Rb1 0.0000 0.0000 0.0000 1
Co1 0.0000 0.0000 0.4170 1
Ge1 0.0000 0.0000 0.2526 1
Ge2 0.0000 0.5000 0.0000 1
# * final energy: -24.8 eV/f.u.
# * density of states at the Fermi level: 0.8395 states/eV per atom
# * theoretical density: 4590 kg/m³
# * energy relative to the elements: 857 kJ/mol of formula units
# * crystal system: tetragonal


# Rb3CoGe | Alexandria | PBE-GGA | optimized geometry
data_Rb3CoGe
_chemical_formula_sum 'Rb3 Co1 Ge1'
_symmetry_space_group_name_H-M 'P m -3 m'
_symmetry_Int_Tables_number 221
_symmetry_space_group_name_Hall '-P 4 2 3'
_cell_length_a 6.3922
_cell_length_b 6.3922
_cell_length_c 6.3922
_cell_angle_alpha 90.00
_cell_angle_beta 90.00
_cell_angle_gamma 90.00
loop_
_atom_site_label
_atom_site_fract_x
_atom_site_fract_y
_atom_site_fract_z
_atom_site_occupancy
Rb1 0.0000 0.0000 0.5000 1
Co1 0.0000 0.0000 0.0000 1
Ge1 0.5000 0.5000 0.5000 1
# * final energy: -10.1 eV/f.u.
# * density of states at the Fermi level: 1.3110 states/eV per atom
# * theoretical density: 2467 kg/m³
# * energy relative to the elements: 438 kJ/mol of formula units
# * crystal system: cubic


# Rb2CoGe2 | Alexandria | PBE-GGA | optimized geometry
data_Rb2CoGe2
_chemical_formula_sum 'Rb4 Co2 Ge4'
_symmetry_space_group_name_H-M 'P 4/m b m'
_symmetry_Int_Tables_number 127
_symmetry_space_group_name_Hall '-P 4 2ab'
_cell_length_a 6.5097
_cell_length_b 6.5097
_cell_length_c 6.1372
_cell_angle_alpha 90.00
_cell_angle_beta 90.00
_cell_angle_gamma 90.00
loop_
_atom_site_label
_atom_site_fract_x
_atom_site_fract_y
_atom_site_fract_z
_atom_site_occupancy
Rb1 0.1736 0.3264 0.0000 1
Co1 0.0000 0.0000 0.5000 1
Ge1 0.1890 0.6890 0.5000 1
# * final energy: -16.9 eV/f.u.
# * density of states at the Fermi level: 0.3835 states/eV per atom
# * theoretical density: 4791 kg/m³
# * energy relative to the elements: 131 kJ/mol of formula units
# * crystal system: tetragonal


# RbCoGe | Alexandria | PBE-GGA | optimized geometry
data_RbCoGe
_chemical_formula_sum 'Rb2 Co2 Ge2'
_symmetry_space_group_name_H-M 'P 4/n m m'
_symmetry_Int_Tables_number 129
_cell_length_a 4.0204
_cell_length_b 4.0204
_cell_length_c 11.1240
_cell_angle_alpha 90.00
_cell_angle_beta 90.00
_cell_angle_gamma 90.00
loop_
_symmetry_equiv_pos_as_xyz
'x,y,z'
'-x,-y,-z'
'-y+1/2,x,z'
'y+1/2,-x,-z'
'-x+1/2,-y+1/2,z'
'x+1/2,y+1/2,-z'
'y,-x+1/2,z'
'-y,x+1/2,-z'
'x+1/2,-y,-z'
'-x+1/2,y,z'
'-y,-x,-z'
'y,x,z'
'-x,y+1/2,-z'
'x,-y+1/2,z'
'y+1/2,x+1/2,-z'
'-y+1/2,-x+1/2,z'
loop_
_atom_site_label
_atom_site_fract_x
_atom_site_fract_y
_atom_site_fract_z
_atom_site_occupancy
Rb1 0.2500 0.2500 0.2101 1
Co1 0.2500 0.7500 0.5000 1
Ge1 0.2500 0.2500 0.6061 1
# * final energy: -12.9 eV/f.u.
# * density of states at the Fermi level: 0.5952 states/eV per atom
# * theoretical density: 4009 kg/m³
# * energy relative to the elements: -19 kJ/mol of formula units
# * crystal system: tetragonal


# RbCo2Ge | Alexandria | PBE-GGA | optimized geometry
data_RbCo2Ge
_chemical_formula_sum 'Rb4 Co8 Ge4'
_symmetry_space_group_name_H-M 'I 41/a m d'
_symmetry_Int_Tables_number 141
_cell_length_a 4.9030
_cell_length_b 4.9030
_cell_length_c 16.0920
_cell_angle_alpha 90.00
_cell_angle_beta 90.00
_cell_angle_gamma 90.00
loop_
_symmetry_equiv_pos_as_xyz
'x,y,z'
'-x,-y,-z'
'-y+1/4,x+3/4,z+1/4'
'y+1/4,-x+3/4,-z+1/4'
'-x+1/2,-y,z+1/2'
'x+1/2,y,-z+1/2'
'y+1/4,-x+1/4,z+3/4'
'-y+1/4,x+1/4,-z+3/4'
'x,-y,-z'
'-x,y,z'
'-y+1/4,-x+1/4,-z+3/4'
'y+1/4,x+1/4,z+3/4'
'-x+1/2,y,-z+1/2'
'x+1/2,-y,z+1/2'
'y+1/4,x+3/4,-z+1/4'
'-y+1/4,-x+3/4,z+1/4'
'x+1/2,y+1/2,z+1/2'
'-x+1/2,-y+1/2,-z+1/2'
'-y+3/4,x+1/4,z+3/4'
'y+3/4,-x+1/4,-z+3/4'
'-x,-y+1/2,z'
'x,y+1/2,-z'
'y+3/4,-x+3/4,z+1/4'
'-y+3/4,x+3/4,-z+1/4'
'x+1/2,-y+1/2,-z+1/2'
'-x+1/2,y+1/2,z+1/2'
'-y+3/4,-x+3/4,-z+1/4'
'y+3/4,x+3/4,z+1/4'
'-x,y+1/2,-z'
'x,-y+1/2,z'
'y+3/4,x+1/4,-z+3/4'
'-y+3/4,-x+1/4,z+3/4'
loop_
_atom_site_label
_atom_site_fract_x
_atom_site_fract_y
_atom_site_fract_z
_atom_site_occupancy
Rb1 0.0000 0.2500 0.3750 1
Co1 0.0000 0.0000 0.0000 1
Ge1 0.0000 0.2500 0.8750 1
# * final energy: -17.4 eV/f.u.
# * density of states at the Fermi level: 1.4065 states/eV per atom
# * theoretical density: 4739 kg/m³
# * energy relative to the elements: 235 kJ/mol of formula units
# * crystal system: tetragonal